(1)
# BaCa2I6

A relaxed structure of BaCa2I6 (GGA-PBE, Alexandria via LeMat-Bulk).

Calculated values
The mass density comes out at 3.77 g cm⁻³. The space group is R3, No. 146. The value obtained for the volume is 431.5 Å³/cell.

Cell lengths 8.6964, 8.6964, 8.6964 Å; angles 56.87, 56.87, 56.87 degrees
With the nearest neighbours (Å) after each atom.
Fractional coordinates of all 9 atoms:
Ba 0.0000 0.0000 0.0000  6 I 3.46-3.51
Ca 0.4992 0.4992 0.4992  6 I 3.18
Ca 0.6854 0.6854 0.6854  6 I 3.16
I 0.0867 0.4410 0.7592  2 Ca 3.16-3.18, 1 Ba 3.51
I 0.3091 0.8967 0.5725  2 Ca 3.16-3.18, 1 Ba 3.46
I 0.4410 0.7592 0.0867  2 Ca 3.16-3.18, 1 Ba 3.51
I 0.5725 0.3091 0.8967  2 Ca 3.16-3.18, 1 Ba 3.46
I 0.7592 0.0867 0.4410  2 Ca 3.16-3.18, 1 Ba 3.51
I 0.8967 0.5725 0.3091  2 Ca 3.16-3.18, 1 Ba 3.46



(2)
# BaCaI4

A relaxed structure of BaCaI4 (GGA-PBE, Alexandria via LeMat-Bulk).

Calculated values
The mass density comes out at 4.44 g cm⁻³. The space group is C2/c, No. 15. The value obtained for the volume is 511.9 Å³/cell.

Cell lengths 9.2109, 9.2109, 7.7683 Å; angles 108.63, 108.63, 110.40 degrees
With the nearest neighbours (Å) after each atom.
Fractional coordinates of all 12 atoms:
Ba 0.1352 0.8648 0.7500  8 I 3.56-3.62
Ba 0.8648 0.1352 0.2500  8 I 3.56-3.62
Ca 0.4973 0.5027 0.7500  8 I 3.30-3.44
Ca 0.5027 0.4973 0.2500  8 I 3.30-3.44
I 0.1485 0.2694 0.7767  2 Ca 3.30-3.35, 2 Ba 3.58-3.62
I 0.2163 0.5596 0.4208  2 Ca 3.33-3.44, 2 Ba 3.56-3.62
I 0.2694 0.1485 0.2767  2 Ca 3.30-3.35, 2 Ba 3.58-3.62
I 0.4404 0.7837 0.0792  2 Ca 3.33-3.44, 2 Ba 3.56-3.62
I 0.5596 0.2163 0.9208  2 Ca 3.33-3.44, 2 Ba 3.56-3.62
I 0.7306 0.8515 0.7233  2 Ca 3.30-3.35, 2 Ba 3.58-3.62
I 0.7837 0.4404 0.5792  2 Ca 3.33-3.44, 2 Ba 3.56-3.62
I 0.8515 0.7306 0.2233  2 Ca 3.30-3.35, 2 Ba 3.58-3.62



(3)
# BaCaI4

A relaxed structure of BaCaI4 (GGA-PBE, Alexandria via LeMat-Bulk).

Calculated values
The mass density comes out at 4.33 g cm⁻³. The space group is Pbcm, No. 57. The value obtained for the volume is 1051.9 Å³/cell.

Cell lengths 8.0062, 11.2510, 11.6773 Å; angles 90.00, 90.00, 90.00 degrees
With the nearest neighbours (Å) after each atom.
Fractional coordinates of all 24 atoms:
Ba 0.0309 0.1633 0.2500  7 I 3.48-3.80
Ba 0.0309 0.3367 0.7500  7 I 3.48-3.80
Ba 0.9691 0.6633 0.2500  7 I 3.48-3.80
Ba 0.9691 0.8367 0.7500  7 I 3.48-3.80
Ca 0.5000 0.0000 0.0000  6 I 3.09-3.20
Ca 0.5000 0.0000 0.5000  6 I 3.09-3.20
Ca 0.5000 0.5000 0.0000  6 I 3.09-3.20
Ca 0.5000 0.5000 0.5000  6 I 3.09-3.20
I 0.1615 0.5970 0.5851  1 Ca 3.09
I 0.1615 0.5970 0.9149  1 Ca 3.09
I 0.1615 0.9030 0.0851  1 Ca 3.09
I 0.1615 0.9030 0.4149  1 Ca 3.09
I 0.3097 0.2500 0.0000  2 Ca 3.20
I 0.3097 0.2500 0.5000  2 Ca 3.20
I 0.3691 0.5432 0.2500  2 Ca 3.14, 1 Ba 3.48
I 0.3691 0.9568 0.7500  2 Ca 3.14, 1 Ba 3.48
I 0.6309 0.0432 0.2500  2 Ca 3.14, 1 Ba 3.48
I 0.6309 0.4568 0.7500  2 Ca 3.14, 1 Ba 3.48
I 0.6903 0.7500 0.0000  2 Ca 3.20
I 0.6903 0.7500 0.5000  2 Ca 3.20
I 0.8385 0.0970 0.5851  1 Ca 3.09
I 0.8385 0.0970 0.9149  1 Ca 3.09
I 0.8385 0.4030 0.0851  1 Ca 3.09
I 0.8385 0.4030 0.4149  1 Ca 3.09



| no. | total energy (eV per atom) | relative energy among the computed polymorphs (eV per atom) |
| --- | --- | --- |
| 1 | -3.32 | 0.014 |
| 2 | -3.32 | 0.043 |
| 3 | -3.33 | 0.037 |